VASP calculation (PBE) on an optimized crystal structure of Gd2Er5Ga.

a b c (Å): 5.471 7.007 7.007
angles (deg): 59.85 90.00 90.00
Each line ends with the local moment (μB).
Element x y z (fractional)
Er  0.000  0.834  0.834  0.03
Er  0.500  0.159  0.672  0.02
Er  0.000  0.328  0.843  0.07
Er  0.500  0.672  0.159  0.02
Er  0.000  0.843  0.328  0.06
Ga  0.500  0.164  0.164  0.00
Gd  0.000  0.327  0.327  0.05
Gd  0.500  0.671  0.671  0.02

Computed properties:
V: 29.03 Å³ per atom
M_tot: 0.318 μB per cell
Space-group type: Amm2 (38)
DFT total energy: -0.32683 Ry/atom